No. 1
Below is Hf5Ta12Al3 after structural relaxation, with properties calculated at the GGA-PBE level.

a b c (Å): 13.8608 13.8608 13.8608
angles (deg): 109.47 109.47 109.47
Site moments in Bohr magnetons follow the coordinates.
Fractional positions:
Ta  0.3523  0.5810  0.4205  0.08
Ta  0.0795  0.1477  0.4190  0.08
Hf  0.1250  0.7500  0.3750  0.40
Ta  0.1605  0.4318  0.0795  0.08
Ta  0.2288  0.5810  0.6605  0.08
Hf  0.7500  0.1250  0.8750  0.40
Al  0.8750  0.7500  0.1250  0.00
Al  0.6250  0.2500  0.3750  0.00
Ta  0.8523  0.9318  0.2712  0.08
Ta  0.6477  0.4190  0.5795  0.08
Ta  0.8395  0.5682  0.9205  0.08
Hf  0.0000  0.5000  0.5000  0.00
Al  0.3750  0.6250  0.2500  0.00
Hf  0.6250  0.8750  0.2500  0.40
Ta  0.4205  0.3395  0.5682  0.08
Ta  0.9205  0.8523  0.5810  0.08
Ta  0.5682  0.8395  0.4205  0.08
Ta  0.8395  0.2712  0.4190  0.08
Ta  0.0795  0.9318  0.1605  0.08
Ta  0.0682  0.9205  0.3395  0.08
Al  0.8750  0.1250  0.2500  0.00
Hf  0.6250  0.7500  0.8750  0.40
Ta  0.9318  0.8523  0.7712  0.08
Ta  0.7712  0.3523  0.9318  0.08
Ta  0.4318  0.1605  0.5795  0.08
Hf  0.1250  0.3750  0.2500  0.40
Hf  0.0000  0.0000  0.5000  0.00
Ta  0.3395  0.9190  0.7712  0.08
Ta  0.3523  0.7712  0.4318  0.08
Ta  0.9190  0.5795  0.1477  0.08
Hf  0.5000  0.5000  0.0000  0.00
Al  0.2500  0.6250  0.8750  0.00
Ta  0.6477  0.2288  0.5682  0.08
Hf  0.5000  0.0000  0.5000  0.00
Ta  0.1477  0.0795  0.9190  0.08
Ta  0.5682  0.7288  0.6477  0.08
Ta  0.7712  0.4190  0.3395  0.08
Al  0.1250  0.2500  0.8750  0.00
Al  0.6250  0.3750  0.7500  0.00
Ta  0.1605  0.7288  0.5810  0.08
Hf  0.8750  0.2500  0.6250  0.40
Al  0.7500  0.8750  0.6250  0.00
Hf  0.8750  0.6250  0.7500  0.40
Hf  0.3750  0.2500  0.1250  0.40
Ta  0.5795  0.6605  0.4318  0.08
Al  0.1250  0.8750  0.7500  0.00
Ta  0.4318  0.2712  0.3523  0.08
Ta  0.0810  0.4205  0.8523  0.08
Hf  0.7500  0.6250  0.3750  0.40
Ta  0.4190  0.7712  0.8395  0.08
Al  0.3750  0.7500  0.6250  0.00
Ta  0.9318  0.0795  0.6605  0.08
Ta  0.3395  0.4205  0.0682  0.08
Ta  0.0682  0.1477  0.2288  0.08
Hf  0.0000  0.5000  0.0000  0.00
Ta  0.2712  0.8395  0.9190  0.08
Al  0.7500  0.3750  0.1250  0.00
Ta  0.4190  0.6477  0.0795  0.08
Ta  0.1477  0.0682  0.7288  0.08
Ta  0.4205  0.0810  0.3523  0.08
Ta  0.9205  0.0682  0.8395  0.08
Hf  0.5000  0.5000  0.5000  0.00
Ta  0.9190  0.3395  0.2712  0.08
Hf  0.3750  0.1250  0.7500  0.40
Hf  0.0000  0.0000  0.0000  0.00
Ta  0.5810  0.3523  0.9205  0.08
Al  0.2500  0.1250  0.3750  0.00
Ta  0.6605  0.5795  0.9318  0.08
Hf  0.5000  0.0000  0.0000  0.00
Ta  0.7288  0.5682  0.1477  0.08
Hf  0.2500  0.3750  0.6250  0.40
Ta  0.8523  0.9205  0.0810  0.08
Ta  0.2288  0.6477  0.0682  0.08
Ta  0.0810  0.6605  0.7288  0.08
Ta  0.5810  0.2288  0.1605  0.08
Ta  0.6605  0.0810  0.2288  0.08
Ta  0.7288  0.1605  0.0810  0.08
Ta  0.2712  0.4318  0.8523  0.08
Hf  0.2500  0.8750  0.1250  0.40
Ta  0.5795  0.9190  0.6477  0.08

M_tot: 2.9 μB/f.u.
E_tot: -8.71 eV per atom


No. 2
Below is Hf2TaAl after structural relaxation, with properties calculated at the GGA-PBE level.

a b c (Å): 3.0837 3.0837 9.9039
angles (deg): 81.04 81.04 60.00
Fractional positions:
Al  0.6667  0.6667  0.9998
Hf  0.0827  0.0827  0.7519
Ta  0.4997  0.4997  0.5008
Hf  0.2508  0.2508  0.2475

M_tot: 0.0 μB/f.u.
E_tot: -8.86 eV per atom


No. 3
Below is Hf2TaAl after structural relaxation, with properties calculated at the GGA-PBE level.

a b c (Å): 7.6886 7.6886 6.1185
angles (deg): 51.07 51.07 90.00
Fractional positions:
Hf  0.1343  0.6250  0.2500
Al  0.5000  0.5000  0.0000
Hf  0.3750  0.3843  0.7500
Ta  0.0000  0.0000  0.0000
Hf  0.8750  0.8657  0.7500
Ta  0.7500  0.2500  0.5000
Al  0.2500  0.7500  0.5000
Hf  0.6157  0.1250  0.2500

M_tot: 0.0 μB/f.u.
E_tot: -8.42 eV per atom


No. 4
Below is Hf2TaAl2 after structural relaxation, with properties calculated at the GGA-PBE level.

a b c (Å): 7.1687 7.1687 3.6853
angles (deg): 90.00 90.00 90.00
Fractional positions:
Al  0.3747  0.8747  0.0000
Al  0.6253  0.1253  0.0000
Ta  0.5000  0.5000  0.0000
Al  0.8747  0.6253  0.0000
Hf  0.1766  0.6766  0.5000
Al  0.1253  0.3747  0.0000
Hf  0.3234  0.1766  0.5000
Hf  0.6766  0.8234  0.5000
Hf  0.8234  0.3234  0.5000
Ta  0.0000  0.0000  0.0000

M_tot: 0.0 μB/f.u.
E_tot: -8.10 eV per atom